{"formula": "LiAcSn4", "functional": "GGA-PBE", "state": "optimized geometry", "lattice": [[0.0000, 4.4508, 4.4508], [4.4508, 0.0000, 4.4508], [4.4508, 4.4508, 0.0000]], "species": ["Li", "Ac", "Sn", "Sn", "Sn", "Sn"], "frac_coords": [[0.0000, 0.0000, 0.0000], [0.2500, 0.2500, 0.2500], [0.1241, 0.6253, 0.6253], [0.6253, 0.1241, 0.6253], [0.6253, 0.6253, 0.1241], [0.6253, 0.6253, 0.6253]], "n_ef_per_ev_cell": 0.616, "crystal_system": "cubic", "magnetic_moment_mub_per_cell": 0.00, "total_energy_ev_per_atom": -4.002}



{"formula": "Nb2HBr", "functional": "GGA-PBE", "state": "optimized geometry", "lattice": [[0.0000, 3.0978, 3.0978], [3.0978, 0.0000, 3.0978], [3.0978, 3.0978, 0.0000]], "species": ["Nb", "Nb", "H", "Br"], "frac_coords": [[0.2500, 0.2500, 0.2500], [0.7500, 0.7500, 0.7500], [0.0000, 0.0000, 0.0000], [0.5000, 0.5000, 0.5000]], "e_above_lowest_polymorph_ev_per_atom": 0.5325, "n_ef_per_ev_cell": 2.623, "crystal_system": "cubic", "magnetic_moment_mub_per_cell": 0.00, "total_energy_ev_per_atom": -5.393}



{"formula": "Cs2ZrS4", "functional": "GGA-PBE", "state": "optimized geometry", "lattice": [[8.3639, 0.0000, 0.0000], [0.0000, 14.7877, 0.0000], [0.0000, 0.0000, 3.9368]], "species": ["Cs", "Cs", "Cs", "Cs", "Zr", "Zr", "S", "S", "S", "S", "S", "S", "S", "S"], "frac_coords": [[0.0611, 0.1665, 0.0000], [0.4389, 0.6665, 0.0000], [0.5611, 0.3335, 0.0000], [0.9389, 0.8335, 0.0000], [0.0000, 0.5000, 0.5000], [0.5000, 0.0000, 0.5000], [0.0947, 0.6600, 0.5000], [0.1958, 0.4620, 0.0000], [0.3042, 0.9620, 0.0000], [0.4053, 0.1600, 0.5000], [0.5947, 0.8400, 0.5000], [0.6958, 0.0380, 0.0000], [0.8042, 0.5380, 0.0000], [0.9053, 0.3400, 0.5000]], "e_above_lowest_polymorph_ev_per_atom": 0.0664, "n_ef_per_ev_cell": 6.456, "e_form_raw_mev_per_atom": -961, "crystal_system": "orthorhombic", "magnetic_moment_mub_per_cell": 4.02, "total_energy_ev_per_atom": -4.784}



{"formula": "KHg3", "functional": "GGA-PBE", "state": "optimized geometry", "lattice": [[7.0579, 0.0000, 0.0000], [0.0000, 16.7219, 0.0000], [0.0000, 0.0000, 6.3247]], "species": ["K", "K", "K", "K", "K", "K", "Hg", "Hg", "Hg", "Hg", "Hg", "Hg", "Hg", "Hg", "Hg", "Hg", "Hg", "Hg", "Hg", "Hg", "Hg", "Hg", "Hg", "Hg"], "frac_coords": [[0.2500, 0.0821, 0.1365], [0.2500, 0.4179, 0.1365], [0.2500, 0.7500, 0.1378], [0.7500, 0.2500, 0.8622], [0.7500, 0.5821, 0.8635], [0.7500, 0.9179, 0.8635], [0.0013, 0.7500, 0.6549], [0.0059, 0.0836, 0.6527], [0.0059, 0.4164, 0.6527], [0.2500, 0.2500, 0.7765], [0.2500, 0.5842, 0.7714], [0.2500, 0.9158, 0.7714], [0.4941, 0.0836, 0.6527], [0.4941, 0.4164, 0.6527], [0.4987, 0.7500, 0.6549], [0.5013, 0.2500, 0.3451], [0.5059, 0.5836, 0.3473], [0.5059, 0.9164, 0.3473], [0.7500, 0.0842, 0.2286], [0.7500, 0.4158, 0.2286], [0.7500, 0.7500, 0.2235], [0.9941, 0.5836, 0.3473], [0.9941, 0.9164, 0.3473], [0.9987, 0.2500, 0.3451]], "n_ef_per_ev_cell": 8.898, "crystal_system": "orthorhombic", "magnetic_moment_mub_per_cell": 0.00, "total_energy_ev_per_atom": -0.724}